a | Density functional theory data (PBE-GGA) for MgBSeN2 after structural relaxation.

Properties
density	2.67	g/cm3
volume	17.7	Å³ per atom
crystal system	tetragonal
space-group type	P4/mmm

The structure in POSCAR format:
```
MgBSeN2
1.0
3.923 0.000 0.000
0.000 3.923 0.000
0.000 0.000 5.748
Mg B Se N
1 1 1 2
Direct
0.000 0.000 0.000
0.500 0.500 0.500
0.000 0.000 0.500
0.000 0.500 0.000
0.500 0.000 0.000
```

b | Density functional theory data (PBE-GGA) for MgBSeN2 after structural relaxation.

Properties
density	2.94	g/cm3
volume	16.0	Å³ per atom
crystal system	tetragonal
space-group type	P4/mmm

The structure in POSCAR format:
```
MgBSeN2
1.0
3.310 0.000 0.000
0.000 3.310 0.000
0.000 0.000 7.318
Mg B Se N
1 1 1 2
Direct
0.000 0.000 0.000
0.500 0.500 0.500
0.500 0.500 0.000
0.000 0.500 0.500
0.500 0.000 0.500
```

It turns out b is the most stable, with the second structure 116.9 kJ/mol of atoms higher.

a | Density functional theory data (PBE-GGA) for MgBTeN2 after structural relaxation.

Properties
density	3.28	g/cm3
volume	19.3	Å³ per atom
crystal system	tetragonal
space-group type	P4/mmm

The structure in POSCAR format:
```
MgBTeN2
1.0
3.893 0.000 0.000
0.000 3.893 0.000
0.000 0.000 6.362
Mg B Te N
1 1 1 2
Direct
0.000 0.000 0.000
0.500 0.500 0.500
0.000 0.000 0.500
0.000 0.500 0.000
0.500 0.000 0.000
```

b | Density functional theory data (PBE-GGA) for MgBTeN2 after structural relaxation.

Properties
density	4.52	g/cm3
volume	14.0	Å³ per atom
crystal system	tetragonal
space-group type	P4/mmm

The structure in POSCAR format:
```
MgBTeN2
1.0
3.589 0.000 0.000
0.000 3.589 0.000
0.000 0.000 5.443
Mg B Te N
1 1 1 2
Direct
0.000 0.000 0.000
0.500 0.500 0.500
0.500 0.500 0.000
0.000 0.500 0.500
0.500 0.000 0.500
```

It turns out b is the most stable, with the second structure 55.8 kJ/mol of atoms higher.

a | Density functional theory data (PBE-GGA) for Na3MgB after structural relaxation.

Properties
density	0.91	g/cm3
volume	38.2	Å³ per atom
crystal system	cubic
space-group type	Pm-3m

The structure in POSCAR format:
```
Na3MgB
1.0
5.757 0.000 0.000
0.000 5.757 0.000
0.000 0.000 5.757
Na Mg B
3 1 1
Direct
0.000 0.000 0.500
0.000 0.500 0.000
0.500 0.000 0.000
0.000 0.000 0.000
0.500 0.500 0.500
```

b | Density functional theory data (PBE-GGA) for Na3MgB after structural relaxation.

Properties
density	1.23	g/cm3
volume	28.2	Å³ per atom
crystal system	cubic
space-group type	Pm-3m

The structure in POSCAR format:
```
Na3MgB
1.0
5.205 0.000 0.000
0.000 5.205 0.000
0.000 0.000 5.205
Na Mg B
3 1 1
Direct
0.000 0.000 0.500
0.000 0.500 0.000
0.500 0.000 0.000
0.500 0.500 0.500
0.000 0.000 0.000
```

It turns out b is the most stable, with the second structure 53.4 kJ/mol of atoms higher.

a | Density functional theory data (PBE-GGA) for NaMg14B after structural relaxation.

Properties
density	1.78	g/cm3
volume	21.8	Å³ per atom
crystal system	hexagonal
space-group type	P-6m2

The structure in POSCAR format:
```
NaMg14B
1.0
6.347 0.000 0.000
-3.174 5.497 0.000
0.000 0.000 10.008
Na Mg B
1 14 1
Direct
0.000 0.000 0.000
0.007 0.504 0.000
0.160 0.321 0.272
0.160 0.321 0.728
0.160 0.840 0.272
0.160 0.840 0.728
0.496 0.504 0.000
0.496 0.993 0.000
0.506 0.011 0.500
0.506 0.494 0.500
0.667 0.333 0.246
0.667 0.333 0.754
0.679 0.840 0.272
0.679 0.840 0.728
0.989 0.494 0.500
0.000 0.000 0.500
```

b | Density functional theory data (PBE-GGA) for NaMg14B after structural relaxation.

Properties
density	1.75	g/cm3
volume	22.2	Å³ per atom
crystal system	orthorhombic
space-group type	Amm2

The structure in POSCAR format:
```
NaMg14B
1.0
9.949 0.000 0.000
0.000 3.118 5.734
0.000 -3.118 5.734
Na Mg B
1 14 1
Direct
0.000 0.000 0.000
0.000 0.004 0.508
0.000 0.508 0.004
0.231 0.352 0.823
0.231 0.823 0.352
0.242 0.342 0.342
0.258 0.841 0.841
0.500 0.009 0.009
0.500 0.496 0.998
0.500 0.500 0.500
0.500 0.998 0.496
0.742 0.841 0.841
0.758 0.342 0.342
0.769 0.352 0.823
0.769 0.823 0.352
0.000 0.593 0.593
```

It turns out b is the most stable, with the second structure 1.7 kJ/mol of atoms higher.

a | Density functional theory data (PBE-GGA) for NaMg14BO15 after structural relaxation.

Properties
density	3.28	g/cm3
volume	10.0	Å³ per atom
crystal system	orthorhombic
space-group type	Pmm2

The structure in POSCAR format:
```
NaMg14BO15
1.0
4.287 0.000 0.000
0.000 8.625 0.000
0.000 0.000 8.414
Na Mg B O
1 14 1 15
Direct
0.000 0.000 0.000
0.000 0.000 0.500
0.000 0.239 0.746
0.000 0.240 0.255
0.000 0.500 0.003
0.000 0.760 0.255
0.000 0.761 0.746
0.500 0.000 0.247
0.500 0.000 0.753
0.500 0.247 0.000
0.500 0.251 0.500
0.500 0.500 0.265
0.500 0.500 0.740
0.500 0.749 0.500
0.500 0.753 0.000
0.000 0.500 0.515
0.000 0.000 0.262
0.000 0.000 0.738
0.000 0.248 0.500
0.000 0.272 0.999
0.000 0.500 0.684
0.000 0.728 0.999
0.000 0.752 0.500
0.500 0.000 0.001
0.500 0.000 0.499
0.500 0.255 0.750
0.500 0.257 0.250
0.500 0.500 0.501
0.500 0.500 0.996
0.500 0.743 0.250
0.500 0.745 0.750
```

b | Density functional theory data (PBE-GGA) for NaMg14BO15 after structural relaxation.

Properties
density	3.25	g/cm3
volume	10.1	Å³ per atom
crystal system	orthorhombic
space-group type	Pmm2

The structure in POSCAR format:
```
NaMg14BO15
1.0
4.349 0.000 0.000
0.000 8.347 0.000
0.000 0.000 8.641
Na Mg B O
1 14 1 15
Direct
0.000 0.000 0.000
0.000 0.000 0.507
0.000 0.243 0.259
0.000 0.265 0.754
0.000 0.500 0.505
0.000 0.735 0.754
0.000 0.757 0.259
0.500 0.000 0.251
0.500 0.000 0.762
0.500 0.250 0.506
0.500 0.260 0.008
0.500 0.500 0.254
0.500 0.500 0.767
0.500 0.740 0.008
0.500 0.750 0.506
0.000 0.500 0.066
0.000 0.000 0.264
0.000 0.252 0.500
0.000 0.330 0.015
0.000 0.500 0.239
0.000 0.500 0.732
0.000 0.670 0.015
0.000 0.748 0.500
0.500 0.000 0.007
0.500 0.000 0.507
0.500 0.250 0.254
0.500 0.254 0.761
0.500 0.500 0.018
0.500 0.500 0.493
0.500 0.746 0.761
0.500 0.750 0.254
```

c | Density functional theory data (PBE-GGA) for NaMg14BO15 after structural relaxation.

Properties
density	3.24	g/cm3
volume	10.2	Å³ per atom
crystal system	orthorhombic
space-group type	Pmm2

The structure in POSCAR format:
```
NaMg14BO15
1.0
4.342 0.000 0.000
0.000 8.490 0.000
0.000 0.000 8.549
Na Mg B O
1 14 1 15
Direct
0.000 0.000 0.000
0.000 0.000 0.515
0.000 0.243 0.248
0.000 0.270 0.758
0.000 0.500 0.006
0.000 0.730 0.758
0.000 0.757 0.248
0.500 0.000 0.254
0.500 0.000 0.754
0.500 0.247 0.004
0.500 0.267 0.503
0.500 0.500 0.253
0.500 0.500 0.750
0.500 0.733 0.503
0.500 0.753 0.004
0.000 0.500 0.444
0.000 0.000 0.282
0.000 0.263 0.010
0.000 0.332 0.496
0.000 0.500 0.271
0.000 0.500 0.775
0.000 0.668 0.496
0.000 0.737 0.010
0.500 0.000 0.000
0.500 0.000 0.505
0.500 0.248 0.257
0.500 0.253 0.750
0.500 0.500 0.014
0.500 0.500 0.492
0.500 0.747 0.750
0.500 0.752 0.257
```

It turns out b is the most stable, with the second structure 2.5 kJ/mol of atoms higher.

a | Density functional theory data (PBE-GGA) for Mg6NiB after structural relaxation.

Properties
density	2.49	g/cm3
volume	18.0	Å³ per atom
crystal system	orthorhombic
space-group type	Amm2

The structure in POSCAR format:
```
Mg6NiB
1.0
4.054 0.000 0.000
0.000 8.225 0.000
0.000 0.000 8.620
Mg Ni B
12 2 2
Direct
0.000 0.000 0.000
0.000 0.000 0.370
0.000 0.176 0.704
0.000 0.324 0.204
0.000 0.500 0.500
0.000 0.500 0.870
0.000 0.676 0.204
0.000 0.824 0.704
0.500 0.241 0.449
0.500 0.259 0.949
0.500 0.741 0.949
0.500 0.759 0.449
0.500 0.000 0.187
0.500 0.500 0.687
0.500 0.000 0.818
0.500 0.500 0.318
```

b | Density functional theory data (PBE-GGA) for Mg6NiB after structural relaxation.

Properties
density	2.36	g/cm3
volume	19.0	Å³ per atom
crystal system	orthorhombic
space-group type	Amm2

The structure in POSCAR format:
```
Mg6NiB
1.0
3.286 0.000 0.000
0.000 9.197 0.000
0.000 0.000 10.042
Mg Ni B
12 2 2
Direct
0.000 0.000 0.000
0.000 0.167 0.721
0.000 0.333 0.221
0.000 0.500 0.500
0.000 0.667 0.221
0.000 0.833 0.721
0.500 0.000 0.257
0.500 0.230 0.470
0.500 0.270 0.970
0.500 0.500 0.757
0.500 0.730 0.970
0.500 0.770 0.470
0.000 0.000 0.498
0.000 0.500 0.998
0.500 0.000 0.600
0.500 0.500 0.100
```

It turns out b is the most stable, with the second structure 17.5 kJ/mol of atoms higher.

a | Density functional theory data (PBE-GGA) for MgBO after structural relaxation.

Properties
density	2.83	g/cm3
volume	10.0	Å³ per atom
crystal system	monoclinic
space-group type	Cm

The structure in POSCAR format:
```
MgBO
1.0
5.130 0.000 0.000
0.000 2.980 0.000
-0.746 0.000 7.835
Mg B O
4 4 4
Direct
0.000 0.000 0.000
0.210 0.500 0.317
0.500 0.500 0.000
0.710 0.000 0.317
0.089 0.000 0.552
0.115 0.500 0.680
0.589 0.500 0.552
0.615 0.000 0.680
0.143 0.500 0.854
0.357 0.000 0.155
0.643 0.000 0.854
0.857 0.500 0.155
```

b | Density functional theory data (PBE-GGA) for MgBO after structural relaxation.

Properties
density	2.93	g/cm3
volume	9.6	Å³ per atom
crystal system	trigonal
space-group type	R-3m

The structure in POSCAR format:
```
MgBO
1.0
1.694 0.978 5.824
-1.694 0.978 5.824
0.000 -1.956 5.824
Mg B O
2 2 2
Direct
0.096 0.096 0.096
0.904 0.904 0.904
0.320 0.320 0.320
0.680 0.680 0.680
0.225 0.225 0.225
0.775 0.775 0.775
```

It turns out a is the most stable, with the second structure 5.4 kJ/mol of atoms higher.

a | Density functional theory data (PBE-GGA) for MgBO after structural relaxation.

Properties
density	2.79	g/cm3
volume	10.1	Å³ per atom
crystal system	monoclinic
space-group type	P2_1/m

The structure in POSCAR format:
```
MgBO
1.0
3.685 0.000 0.000
0.000 3.137 0.000
-0.732 0.000 5.255
Mg B O
2 2 2
Direct
0.106 0.250 0.283
0.894 0.750 0.717
0.455 0.250 0.931
0.545 0.750 0.069
0.232 0.250 0.669
0.768 0.750 0.331
```

b | Density functional theory data (PBE-GGA) for MgBO after structural relaxation.

Properties
density	2.64	g/cm3
volume	10.7	Å³ per atom
crystal system	monoclinic
space-group type	Cm

The structure in POSCAR format:
```
MgBO
1.0
9.098 0.000 0.000
0.000 3.080 0.000
-4.234 0.000 4.596
Mg B O
4 4 4
Direct
0.000 0.000 0.000
0.090 0.500 0.490
0.500 0.500 0.000
0.590 0.000 0.490
0.251 0.500 0.113
0.258 0.000 0.998
0.751 0.000 0.113
0.758 0.500 0.998
0.186 0.500 0.278
0.275 0.000 0.769
0.686 0.000 0.278
0.775 0.500 0.769
```

c | Density functional theory data (PBE-GGA) for MgBO after structural relaxation.

Properties
density	2.67	g/cm3
volume	10.6	Å³ per atom
crystal system	monoclinic
space-group type	P2_1/m

The structure in POSCAR format:
```
MgBO
1.0
4.382 0.000 0.000
0.000 3.158 0.000
-0.873 0.000 4.600
Mg B O
2 2 2
Direct
0.205 0.250 0.348
0.795 0.750 0.652
0.434 0.750 0.940
0.566 0.250 0.060
0.259 0.750 0.623
0.741 0.250 0.377
```

d | Density functional theory data (PBE-GGA) for MgBO after structural relaxation.

Properties
density	2.83	g/cm3
volume	10.0	Å³ per atom
crystal system	monoclinic
space-group type	Cm

The structure in POSCAR format:
```
MgBO
1.0
5.085 0.000 0.000
0.000 2.966 0.000
-2.479 0.000 7.951
Mg B O
4 4 4
Direct
0.000 0.000 0.000
0.152 0.000 0.327
0.500 0.500 0.000
0.652 0.500 0.327
0.042 0.500 0.769
0.473 0.500 0.642
0.542 0.000 0.769
0.973 0.000 0.642
0.387 0.500 0.471
0.410 0.000 0.167
0.887 0.000 0.471
0.910 0.500 0.167
```

It turns out a is the most stable, with the second structure 4.7 kJ/mol of atoms higher.